Entry one
Here is a relaxed structure of PmHfAsO from OQMD. Energies are from PBE.

abc: 5.228 4.026 7.786
angles: 90.00 90.00 90.00
Positions (direct):
Pm (0.250, 0.000, 0.133)
Pm (0.750, 0.000, 0.867)
Hf (0.250, 0.500, 0.740)
Hf (0.750, 0.500, 0.260)
As (0.250, 0.500, 0.393)
As (0.750, 0.500, 0.607)
O (0.250, 0.000, 0.819)
O (0.750, 0.000, 0.181)

Results
Total magnetization = 0.01 Bohr magnetons per cell
Density = 8.40 g/cm³

***

Entry two
Here is a relaxed structure of PmHfAsO from OQMD. Energies are from PBE.

abc: 4.203 4.203 8.924
angles: 90.00 90.00 90.00
Positions (direct):
Pm (0.250, 0.250, 0.120)
Pm (0.750, 0.750, 0.880)
Hf (0.250, 0.750, 0.500)
Hf (0.750, 0.250, 0.500)
As (0.250, 0.250, 0.690)
As (0.750, 0.750, 0.310)
O (0.250, 0.750, 0.000)
O (0.750, 0.250, 0.000)

Results
Total magnetization = 0.01 Bohr magnetons per cell
Density = 8.73 g/cm³

***

Stability ranking, top entry: entry two; the second entry is 17.2 kJ/mol of atoms less favorable.

***

Entry one
Here is a relaxed structure of HfAsPtO from OQMD. Energies are from PBE.

abc: 3.772 3.772 8.357
angles: 90.00 90.00 90.00
Positions (direct):
Hf (0.250, 0.250, 0.145)
Hf (0.750, 0.750, 0.855)
As (0.250, 0.250, 0.716)
As (0.750, 0.750, 0.284)
Pt (0.250, 0.750, 0.500)
Pt (0.750, 0.250, 0.500)
O (0.250, 0.750, 0.000)
O (0.750, 0.250, 0.000)

Results
Total magnetization = 0.02 Bohr magnetons per cell
Density = 12.97 g/cm³

***

Entry two
Here is a relaxed structure of HfAsPtO from OQMD. Energies are from PBE.

abc: 5.031 4.403 6.839
angles: 90.00 90.00 90.00
Positions (direct):
Hf (0.000, 0.130, 0.000)
Hf (0.000, 0.870, 0.500)
As (0.500, 0.362, 0.947)
As (0.500, 0.638, 0.447)
Pt (0.500, 0.150, 0.614)
Pt (0.500, 0.850, 0.114)
O (0.000, 0.172, 0.290)
O (0.000, 0.828, 0.790)

Results
Total magnetization = 0.00 Bohr magnetons per cell
Density = 10.18 g/cm³

***

Stability ranking, top entry: entry one; the second entry is 10.5 kJ/mol of atoms less favorable.